1.
A plane-wave DFT calculation with GGA-PBE was carried out for an optimized crystal structure of Pm2ErSc2.

* magnetic moment: 0.0 μB/cell
* formation energy: 0.655 eV/f.u.
* crystal system: orthorhombic

Cell lengths 5.4872, 6.7875, 9.1886 Å; angles 111.67, 107.37, 90.00 degrees
Closest atoms and distances in Å follow each position.
Positions (direct):
Pm (0.6260, 0.3760, 0.7520)  2 Er 3.39, 6 Sc 3.40-3.42, 2 Pm 3.40
Pm (0.9979, 0.7479, 0.4959)  4 Pm 3.39-3.40, 2 Er 3.43, 4 Sc 3.54-3.57
Pm (0.0021, 0.2521, 0.5041)  4 Pm 3.39-3.40, 2 Er 3.43, 4 Sc 3.54-3.57
Pm (0.3740, 0.6240, 0.2480)  2 Er 3.39, 6 Sc 3.40-3.42, 2 Pm 3.40
Er (0.3744, 0.1244, 0.2488)  6 Sc 3.37-3.39, 4 Pm 3.39-3.43
Er (0.6256, 0.8756, 0.7512)  6 Sc 3.37-3.39, 4 Pm 3.39-3.43
Sc (0.8069, 0.3024, 0.1138)  4 Sc 3.30-3.45, 3 Er 3.37-3.39, 5 Pm 3.40-3.57
Sc (0.8069, 0.8114, 0.1138)  4 Sc 3.30-3.45, 3 Er 3.37-3.39, 5 Pm 3.40-3.57
Sc (0.1931, 0.1886, 0.8862)  4 Sc 3.30-3.45, 3 Er 3.37-3.39, 5 Pm 3.40-3.57
Sc (0.1931, 0.6976, 0.8862)  4 Sc 3.30-3.45, 3 Er 3.37-3.39, 5 Pm 3.40-3.57



2.
A plane-wave DFT calculation with GGA-PBE was carried out for an optimized crystal structure of CaEuTl.

* magnetic moment: 7.4 μB/cell
* formation energy: -0.663 eV/f.u.
* crystal system: trigonal

Cell lengths 3.8189, 5.5403, 5.5403 Å; angles 120.00, 90.00, 90.00 degrees
Closest atoms and distances in Å follow each position.
Positions (direct):
Eu (0.9660, 0.0000, 0.0000)  3 Tl 3.46, 6 Ca 3.63-3.83, 2 Eu 3.82
Tl (0.6212, 0.6667, 0.3333)  3 Ca 3.30, 3 Eu 3.46
Ca (0.4128, 0.3333, 0.6667)  3 Tl 3.30, 3 Eu 3.63



3.
A plane-wave DFT calculation with GGA-PBE was carried out for an optimized crystal structure of Sr3NbF.

* uncorrected formation energy: 0.399 eV/atom
* magnetic moment: 2.0 μB/cell
* crystal system: cubic

Cell lengths 5.9521, 5.9521, 5.9521 Å; angles 90.00, 90.00, 90.00 degrees
Closest atoms and distances in Å follow each position.
Positions (direct):
Sr (0.0000, 0.5000, 0.0000)  2 Nb 2.98
Sr (0.0000, 0.0000, 0.5000)  2 Nb 2.98
Sr (0.5000, 0.0000, 0.0000)  2 Nb 2.98
Nb (0.0000, 0.0000, 0.0000)  6 Sr 2.98
F (0.5000, 0.5000, 0.5000)  12 Sr 4.21



4.
A plane-wave DFT calculation with GGA-PBE was carried out for an optimized crystal structure of NdHgI2.

* uncorrected formation energy: -0.331 eV/atom
* magnetic moment: 0.5 μB/cell
* crystal system: trigonal

Cell lengths 4.4757, 4.4757, 12.9383 Å; angles 80.04, 80.04, 60.00 degrees
Closest atoms and distances in Å follow each position.
Positions (direct):
I (0.0762, 0.0762, 0.7715)  1 Nd 2.90
I (0.9238, 0.9238, 0.2285)  1 Nd 2.90
Nd (0.0000, 0.0000, 0.0000)  2 I 2.90
Hg (0.5000, 0.5000, 0.5000)  6 I 4.30, 6 Hg 4.48